Density functional theory data (PBE-GGA) for a relaxed Ti2TlBi2 crystal.

## Properties
**Formation enthalpy at 0 K**: -17.0 meV per atom
**Symmetry**: P4/mbm, No. 127
**ΔE to the lowest computed polymorph**: 0 meV/atom

abc: 7.792 7.792 3.860
angles: 90.00 90.00 90.00
Positions (direct):
Tl (0.000, 0.000, 0.000)
Tl (0.500, 0.500, 0.000)
Bi (0.157, 0.657, 0.500)
Bi (0.657, 0.843, 0.500)
Bi (0.843, 0.343, 0.500)
Bi (0.343, 0.157, 0.500)
Ti (0.364, 0.864, 0.000)
Ti (0.864, 0.636, 0.000)
Ti (0.636, 0.136, 0.000)
Ti (0.136, 0.364, 0.000)

---

Density functional theory data (PBE-GGA) for a relaxed CdTe3 crystal.

## Properties
**ΔE_f (raw)**: 0.1797 eV per atom
**Symmetry**: P4/mmm, No. 123

abc: 5.426 5.426 3.794
angles: 90.00 90.00 90.00
Positions (direct):
Te (0.000, 0.500, 0.500)
Te (0.500, 0.000, 0.500)
Te (0.500, 0.500, 0.000)
Cd (0.000, 0.000, 0.000)